[1]
Here is a geometry-optimized IrN2Cl structure from Alexandria via LeMat-Bulk. Energies are from PBE.

density of states at the Fermi level = 1.005 states/eV per atom
distance to the lowest polymorph of the same formula = 1505.7 meV/atom

abc: 5.5376 5.5376 5.5376
angles: 90.00 90.00 90.00
Space group Fm-3m (No. 225)
Symmetry-distinct sites (fractional):
Ir1 0.0000 0.0000 0.0000 (multiplicity 4)
N1 0.2500 0.2500 0.2500 (multiplicity 8)
Cl1 0.0000 0.0000 0.5000 (multiplicity 4)


[2]
Here is a geometry-optimized LiTaBr2 structure from Alexandria via LeMat-Bulk. Energies are from PBE.

density of states at the Fermi level = 0.662 states/eV per atom
distance to the lowest polymorph of the same formula = 181.8 meV/atom

abc: 3.2162 5.0219 14.5051
angles: 90.00 90.00 90.00
Space group Immm (No. 71)
Symmetry-distinct sites (fractional):
Li1 0.0000 0.0000 0.0000 (multiplicity 2)
Ta1 0.0000 0.0000 0.5000 (multiplicity 2)
Br1 0.0000 0.5000 0.1424 (multiplicity 4)